# YP2BrCl

An optimized crystal structure of YP2BrCl (GGA-PBE, the Alexandria database).

Calculated values
Magnetic moment = 1.75 μB per cell
Formation energy from raw total energies = 28 meV per atom
Excess energy over the best structure of this formula in the dataset = 0.0000 eV per atom
Final energy = -20.662 eV/cell
Volume = 157 Å³/cell

```
YP2BrCl
1.0
5.5288 0.0000 0.0000
0.0000 5.5288 0.0000
0.0000 0.0000 5.1488
Y P Br Cl
1 2 1 1
direct
0.0000 0.0000 0.0000
0.0000 0.5000 0.0000
0.5000 0.0000 0.0000
0.5000 0.5000 0.5000
0.0000 0.0000 0.5000
```